# 1
This record from Alexandria via LeMat-Bulk describes a geometry-optimized YNpGe structure. The functional is PBE.

Lattice parameters (Å, degrees): 7.943 3.585 9.394 90.00 90.00 90.00
Space group Pnma (No. 62)
Symmetry-distinct sites (fractional):
1 Y 0.130 0.250 0.110 (multiplicity 4)
2 Np 0.076 0.250 0.443 (multiplicity 4)
3 Ge 0.146 0.250 0.780 (multiplicity 4)

## Properties
DFT total energy: -99.994 eV for the cell shown
DFT formation energy: -0.33 eV per atom
M_tot: 7.8 μB per cell


# 2
This record from Alexandria via LeMat-Bulk describes a geometry-optimized Tb2CoPdC structure. The functional is PBE.

Lattice parameters (Å, degrees): 5.005 5.005 3.601 90.00 90.00 90.00
Space group P4/mmm (No. 123)
Symmetry-distinct sites (fractional):
1 Tb 0.000 0.500 0.000 (multiplicity 2)
2 Co 0.000 0.000 0.500 (multiplicity 1)
3 Pd 0.500 0.500 0.500 (multiplicity 1)
4 C 0.000 0.000 0.000 (multiplicity 1)

## Properties
DFT total energy: -33.499 eV for the cell shown
DFT formation energy: -0.54 eV per atom
M_tot: 0.0 μB per cell


# 3
This record from Alexandria via LeMat-Bulk describes a geometry-optimized ThMnB14 structure. The functional is PBE.

Lattice parameters (Å, degrees): 5.847 10.884 8.330 90.00 90.00 90.00
Space group Imma (No. 74)
Symmetry-distinct sites (fractional):
1 Th 0.000 0.250 0.125 (multiplicity 4)
2 Mn 0.250 0.250 0.750 (multiplicity 4)
3 B 0.000 0.083 0.668 (multiplicity 8)
4 B 0.000 0.127 0.865 (multiplicity 8)
5 B 0.000 0.167 0.469 (multiplicity 8)
6 B 0.161 0.060 0.340 (multiplicity 16)
7 B 0.249 0.077 0.549 (multiplicity 16)

## Properties
DFT total energy: -449.501 eV for the cell shown
DFT formation energy: -0.14 eV per atom
M_tot: 13.8 μB per cell


# 4
This record from Alexandria via LeMat-Bulk describes a geometry-optimized NaFeIr structure. The functional is PBE.

Lattice parameters (Å, degrees): 10.648 4.015 5.174 90.00 103.22 90.00
Space group C2 (No. 5)
Symmetry-distinct sites (fractional):
1 Na 0.000 0.000 0.000 (multiplicity 2)
2 Na 0.000 0.002 0.500 (multiplicity 2)
3 Fe 0.215 0.501 0.864 (multiplicity 4)
4 Ir 0.218 0.501 0.349 (multiplicity 4)

## Properties
DFT total energy: -70.263 eV for the cell shown
DFT formation energy: 0.36 eV per atom
M_tot: 9.8 μB per cell
Energy above the lowest structure with this stoichiometry: 0.098 eV per atom


# 5
This record from Alexandria via LeMat-Bulk describes a geometry-optimized ZnGa3Ir structure. The functional is PBE.

Lattice parameters (Å, degrees): 4.844 4.844 4.844 90.00 90.00 90.00
Space group Pm-3m (No. 221)
Symmetry-distinct sites (fractional):
1 Zn 0.000 0.000 0.000 (multiplicity 1)
2 Ga 0.000 0.500 0.500 (multiplicity 3)
3 Ir 0.500 0.500 0.500 (multiplicity 1)

## Properties
DFT total energy: -19.782 eV for the cell shown
DFT formation energy: -0.11 eV per atom
M_tot: 0.0 μB per cell
Energy above the lowest structure with this stoichiometry: 0.060 eV per atom


# 6
This record from Alexandria via LeMat-Bulk describes a geometry-optimized Er2Al2Ga3 structure. The functional is PBE.

Lattice parameters (Å, degrees): 4.203 18.217 7.318 90.00 90.00 90.00
Space group Cmcm (No. 63)
Symmetry-distinct sites (fractional):
1 Er 0.000 0.053 0.250 (multiplicity 4)
2 Er 0.000 0.153 0.750 (multiplicity 4)
3 Al 0.000 0.312 0.557 (multiplicity 8)
4 Ga 0.000 0.226 0.250 (multiplicity 4)
5 Ga 0.000 0.441 0.075 (multiplicity 8)

## Properties
DFT total energy: -115.611 eV for the cell shown
DFT formation energy: -0.46 eV per atom
M_tot: 0.0 μB per cell
Energy above the lowest structure with this stoichiometry: 0.000 eV per atom


# 7
This record from Alexandria via LeMat-Bulk describes a geometry-optimized KRhSe2 structure. The functional is PBE.

Lattice parameters (Å, degrees): 8.191 8.191 5.893 90.00 90.00 90.00
Space group I4/mcm (No. 140)
Symmetry-distinct sites (fractional):
1 K 0.000 0.000 0.250 (multiplicity 4)
2 Rh 0.000 0.500 0.250 (multiplicity 4)
3 Se 0.167 0.333 0.000 (multiplicity 8)

## Properties
DFT total energy: -69.725 eV for the cell shown
ΔE_f (raw): -503 meV/atom
M_tot: 0.0 μB per cell


# 8
This record from Alexandria via LeMat-Bulk describes a geometry-optimized CaPrNd6Dy2 structure. The functional is PBE.

Lattice parameters (Å, degrees): 9.280 15.538 9.949 90.00 98.09 90.00
Space group C2/c (No. 15)
Symmetry-distinct sites (fractional):
1 Ca 0.000 0.097 0.250 (multiplicity 4)
2 Pr 0.000 0.473 0.750 (multiplicity 4)
3 Nd 0.064 0.324 0.448 (multiplicity 8)
4 Nd 0.102 0.107 0.621 (multiplicity 8)
5 Nd 0.204 0.270 0.823 (multiplicity 8)
6 Dy 0.249 0.450 0.045 (multiplicity 8)

## Properties
DFT total energy: -173.211 eV for the cell shown
DFT formation energy: 0.13 eV per atom
M_tot: 0.0 μB per cell


# 9
This record from Alexandria via LeMat-Bulk describes a geometry-optimized LaSm6Y3Th2 structure. The functional is PBE.

Lattice parameters (Å, degrees): 6.270 10.851 11.985 90.00 100.07 90.00
Space group C2/m (No. 12)
Symmetry-distinct sites (fractional):
1 La 0.000 0.000 0.000 (multiplicity 2)
2 Sm 0.245 0.500 0.249 (multiplicity 4)
3 Sm 0.247 0.331 0.752 (multiplicity 8)
4 Y 0.000 0.167 0.500 (multiplicity 4)
5 Y 0.000 0.500 0.500 (multiplicity 2)
6 Th 0.000 0.333 0.000 (multiplicity 4)

## Properties
DFT total energy: -134.091 eV for the cell shown
DFT formation energy: 0.04 eV per atom
M_tot: 0.0 μB per cell


# 10
This record from Alexandria via LeMat-Bulk describes a geometry-optimized Si3Ru2 structure. The functional is PBE.

Lattice parameters (Å, degrees): 10.445 12.036 4.520 90.00 90.00 90.00
Space group Fdd2 (No. 43)
Symmetry-distinct sites (fractional):
1 Si 0.000 0.000 0.000 (multiplicity 8)
2 Si 0.114 0.454 0.025 (multiplicity 16)
3 Ru 0.038 0.169 0.266 (multiplicity 16)

## Properties
DFT total energy: -293.583 eV for the cell shown
ΔE_f (raw): -375 meV/atom
M_tot: 0.0 μB per cell


# 11
This record from Alexandria via LeMat-Bulk describes a geometry-optimized YFeSi3 structure. The functional is PBE.

Lattice parameters (Å, degrees): 4.438 4.438 4.438 90.00 90.00 90.00
Space group Pm-3m (No. 221)
Symmetry-distinct sites (fractional):
1 Y 0.000 0.000 0.000 (multiplicity 1)
2 Fe 0.500 0.500 0.500 (multiplicity 1)
3 Si 0.000 0.500 0.500 (multiplicity 3)

## Properties
DFT total energy: -31.227 eV for the cell shown
ΔE_f (raw): -6 meV/atom
M_tot: 0.0 μB per cell


# 12
This record from Alexandria via LeMat-Bulk describes a geometry-optimized TaSi3Pd structure. The functional is PBE.

Lattice parameters (Å, degrees): 4.834 4.834 4.834 90.00 90.00 90.00
Space group Pm-3m (No. 221)
Symmetry-distinct sites (fractional):
1 Ta 0.000 0.000 0.000 (multiplicity 1)
2 Si 0.000 0.000 0.500 (multiplicity 3)
3 Pd 0.500 0.500 0.500 (multiplicity 1)

## Properties
DFT total energy: -28.998 eV for the cell shown
ΔE_f (raw): 863 meV/atom
M_tot: 0.0 μB per cell


Question: Which value of DFT total energy does entry 12 give?
Answer: -28.998 eV for the cell shown


Question: Which of these has the highest M_tot?
Answer: ThMnB14


Question: M_tot of number 5 (ZnGa3Ir)?
Answer: 0.0 μB per cell